No. 1
# Rb2Te2Pb, optimized geometry, DFT PBE-GGA
data_Rb2Te2Pb
_chemical_formula_sum 'Rb4 Te4 Pb2'
_cell_length_a 8.976
_cell_length_b 8.976
_cell_length_c 5.239
_cell_angle_alpha 90.00
_cell_angle_beta 90.00
_cell_angle_gamma 90.00
_space_group_name_H-M_alt 'P 4/m b m'
_space_group_IT_number 127
_space_group_name_Hall '-P 4 2ab'
loop_
_atom_site_label
_atom_site_fract_x
_atom_site_fract_y
_atom_site_fract_z
Rb1 0.136 0.364 0.000
Te1 0.175 0.675 0.500
Pb1 0.000 0.000 0.500
# excess energy over the best structure of this formula in the dataset = 190 meV/atom
# electronic total energy = -29.7 eV per cell
# spin magnetization = 0.0 μB per formula unit
# V = 42.2 A^3/atom
# formation energy (no corrections) = -587.5 meV/atom

---

No. 2
# Rb3Te3Pb, optimized geometry, DFT PBE-GGA
data_Rb3Te3Pb
_chemical_formula_sum 'Rb12 Te12 Pb4'
_cell_length_a 10.131
_cell_length_b 15.629
_cell_length_c 8.970
_cell_angle_alpha 90.00
_cell_angle_beta 101.05
_cell_angle_gamma 90.00
_space_group_name_H-M_alt 'C 1 2/m 1'
_space_group_IT_number 12
loop_
_space_group_symop_operation_xyz
'x,y,z'
'-x,-y,-z'
'-x,y,-z'
'x,-y,z'
'x+1/2,y+1/2,z'
'-x+1/2,-y+1/2,-z'
'-x+1/2,y+1/2,-z'
'x+1/2,-y+1/2,z'
loop_
_atom_site_label
_atom_site_fract_x
_atom_site_fract_y
_atom_site_fract_z
Rb1 0.000 0.174 0.000
Rb2 0.000 0.239 0.500
Rb3 0.105 0.500 0.862
Te1 0.101 0.000 0.284
Te2 0.188 0.347 0.217
Pb1 0.177 0.000 0.637
# electronic total energy = -85.2 eV per cell
# spin magnetization = 0.0 μB per formula unit
# V = 49.8 A^3/atom
# formation energy (no corrections) = -752.5 meV/atom

---

No. 3
# Rb3Th3Te8Pb, optimized geometry, DFT PBE-GGA
data_Rb3Th3Te8Pb
_chemical_formula_sum 'Rb9 Th9 Te24 Pb3'
_cell_length_a 9.1970
_cell_length_b 9.1970
_cell_length_c 25.9397
_cell_angle_alpha 90.00
_cell_angle_beta 90.00
_cell_angle_gamma 120.00
_space_group_name_H-M_alt 'R -3 m'
_space_group_IT_number 166
_space_group_name_Hall '-R 3 2"'
loop_
_atom_site_label
_atom_site_fract_x
_atom_site_fract_y
_atom_site_fract_z
Rb1 0.0000 0.5000 0.0000
Th1 0.0000 0.5000 0.5000
Te1 0.0000 0.0000 0.2356
Te2 0.0148 0.5074 0.7649
Pb1 0.0000 0.0000 0.5000
# electronic total energy = -211.4 eV per cell
# spin magnetization = 0.0 μB per formula unit
# V = 42.2 A^3/atom
# formation energy (no corrections) = -1098.4 meV/atom

---

No. 4
# RbTlTe2Pb, optimized geometry, DFT PBE-GGA
data_RbTlTe2Pb
_chemical_formula_sum 'Rb4 Tl4 Te8 Pb4'
_cell_length_a 19.408
_cell_length_b 5.054
_cell_length_c 10.299
_cell_angle_alpha 90.00
_cell_angle_beta 99.91
_cell_angle_gamma 90.00
_space_group_name_H-M_alt 'C 1 2/m 1'
_space_group_IT_number 12
loop_
_space_group_symop_operation_xyz
'x,y,z'
'-x,-y,-z'
'-x,y,-z'
'x,-y,z'
'x+1/2,y+1/2,z'
'-x+1/2,-y+1/2,-z'
'-x+1/2,y+1/2,-z'
'x+1/2,-y+1/2,z'
loop_
_atom_site_label
_atom_site_fract_x
_atom_site_fract_y
_atom_site_fract_z
Rb1 0.180 0.000 0.152
Tl1 0.193 0.000 0.507
Te1 0.093 0.500 0.377
Te2 0.166 0.000 0.797
Pb1 0.076 0.500 0.672
# electronic total energy = -63.5 eV per cell
# spin magnetization = 0.0 μB per formula unit
# V = 49.8 A^3/atom
# formation energy (no corrections) = -508.1 meV/atom